Entry 1:
DFT (GGA-PBE) results for an optimized crystal structure of KAuI2N.

a b c (Å): 6.458 6.458 5.155
angles (deg): 90.00 90.00 90.00
Site moments in Bohr magnetons follow the coordinates.
Fractional coordinates of all 5 atoms:
I1 0.500 0.000 0.000  0.07
I2 0.000 0.500 0.000  0.07
K1 0.000 0.000 0.000  0.03
Au1 0.500 0.500 0.500  0.00
N1 0.000 0.000 0.500  1.87

Results
**Energy relative to the elements, uncorrected**: 5.5 eV/f.u.

---

Entry 2:
DFT (GGA-PBE) results for an optimized crystal structure of Co3Ir.

a b c (Å): 2.595 3.573 5.158
angles (deg): 90.00 90.00 90.00
Site moments in Bohr magnetons follow the coordinates.
Fractional coordinates of all 4 atoms:
Co1 0.500 0.500 0.750  1.72
Co2 0.000 0.000 0.513  1.54
Co3 0.000 0.000 0.987  1.54
Ir1 0.500 0.500 0.250  0.33

Results
**DFT formation energy**: 0.0569 eV per atom

---

Entry 3:
DFT (GGA-PBE) results for an optimized crystal structure of NdSm7Dy2.

a b c (Å): 6.263 9.572 9.571
angles (deg): 141.79 109.16 77.37
Fractional coordinates of all 10 atoms:
Sm1 0.098 0.502 0.200
Sm2 0.500 0.500 0.000
Sm3 0.301 0.499 0.600
Sm4 0.399 0.001 0.799
Sm5 0.902 0.498 0.800
Sm6 0.699 0.501 0.400
Sm7 0.601 0.999 0.201
Nd1 0.000 0.000 0.000
Dy1 0.799 0.001 0.599
Dy2 0.201 0.999 0.401

Results
**DFT formation energy**: 0.0165 eV per atom

---

Entry 4:
DFT (GGA-PBE) results for an optimized crystal structure of AsSe3.

a b c (Å): 4.822 4.822 3.453
angles (deg): 90.00 90.00 90.00
Fractional coordinates of all 4 atoms:
Se1 0.500 0.000 0.500
Se2 0.500 0.500 0.000
Se3 0.000 0.500 0.500
As1 0.000 0.000 0.000

Results
**Energy relative to the elements, uncorrected**: 2.1 eV/f.u.